The following is a DFT calculation (PBE-GGA) of a relaxed structure of YMgSc2.

Output
The calculation puts the formation energy at -0.01 eV/atom. The electronic total energy is -5.19 eV/atom.

a b c (Å): 3.4514 3.4514 8.7672
angles (deg): 90.00 90.00 90.00
Atoms (fractional coordinates):
Y 0.0000 0.0000 0.0000
Mg 0.5000 0.5000 0.2634
Sc 0.0000 0.0000 0.4962
Sc 0.5000 0.5000 0.7324

The following is a DFT calculation (PBE-GGA) of a relaxed structure of Y2MgSc2.

Output
The calculation puts the formation energy at 0.16 eV/atom. The electronic total energy is -5.28 eV/atom. The value obtained for the energy relative to the lowest polymorph listed for this composition is 0 meV per atom.

a b c (Å): 8.8200 8.8200 3.5822
angles (deg): 90.00 90.00 90.00
Atoms (fractional coordinates):
Y 0.1755 0.3245 0.0000
Y 0.3245 0.8245 0.0000
Y 0.6755 0.1755 0.0000
Y 0.8245 0.6755 0.0000
Mg 0.0000 0.0000 0.5000
Mg 0.5000 0.5000 0.5000
Sc 0.1226 0.6226 0.5000
Sc 0.3774 0.1226 0.5000
Sc 0.6226 0.8774 0.5000
Sc 0.8774 0.3774 0.5000